Mg2ZnAs2Rh5 PBE-GGA relaxed; mass density = 8.257 g/cm³; volume = 15.65 A^3/atom; raw total energy = -5.530 eV per atom; total moment = 0.00 μB/atom; ΔH_f (0 K) = -46.1 kJ/mol of atoms
1.0
9.4973 0.0000 0.0000
0.0000 9.4973 0.0000
0.0000 0.0000 3.4711
Mg Zn As Rh
4 2 4 10
Cartesian
1.6139 3.1347 0.0000
3.1347 7.8833 0.0000
6.3626 1.6139 0.0000
7.8833 6.3626 0.0000
0.0000 0.0000 0.0000
4.7486 4.7486 0.0000
1.2507 5.9993 0.0000
3.4979 1.2507 0.0000
5.9993 8.2466 0.0000
8.2466 3.4979 0.0000
0.0000 4.7486 1.7356
0.6865 7.5808 1.7356
1.9164 0.6865 1.7356
2.8322 5.4351 1.7356
4.0622 2.8322 1.7356
4.7486 0.0000 1.7356
5.4351 6.6651 1.7356
6.6651 4.0622 1.7356
7.5808 8.8108 1.7356
8.8108 1.9164 1.7356

=====

MgZr2AsRh PBE-GGA relaxed; mass density = 5.504 g/cm³; energy above the lowest structure with this stoichiometry = 0.0 meV per atom; volume = 23.21 A^3/atom; raw total energy = -6.137 eV per atom; total moment = 0.00 μB/atom; ΔH_f (0 K) = 0.2 kJ/mol of atoms
1.0
5.0241 0.0000 0.0000
0.0000 5.0241 0.0000
0.0000 0.0000 4.5969
Mg Zr As Rh
1 2 1 1
Cartesian
0.0000 0.0000 0.0000
0.0000 2.5120 2.2984
2.5120 0.0000 2.2984
2.5120 2.5120 2.2984
2.5120 2.5120 0.0000

=====

MgZr2AsRh PBE-GGA relaxed; mass density = 5.343 g/cm³; energy above the lowest structure with this stoichiometry = 13.0 meV per atom; volume = 23.90 A^3/atom; raw total energy = -6.124 eV per atom; total moment = 0.00 μB/atom; ΔH_f (0 K) = 1.4 kJ/mol of atoms
1.0
4.9687 0.0000 0.0000
0.0000 4.9687 0.0000
0.0000 0.0000 4.8409
Mg Zr As Rh
1 2 1 1
Cartesian
0.0000 0.0000 0.0000
0.0000 2.4844 2.4205
2.4844 0.0000 2.4205
2.4844 2.4844 0.0000
0.0000 0.0000 2.4205

=====

MgZrAs2Rh5 PBE-GGA relaxed; mass density = 8.917 g/cm³; volume = 16.14 A^3/atom; raw total energy = -6.701 eV per atom; total moment = 0.00 μB/atom; ΔH_f (0 K) = -44.1 kJ/mol of atoms
1.0
4.1483 0.0000 0.0000
0.0000 4.1483 0.0000
0.0000 0.0000 8.4400
Mg Zr As Rh
1 1 2 5
Cartesian
0.0000 0.0000 0.0000
0.0000 0.0000 4.2200
2.0741 2.0741 3.0161
2.0741 2.0741 5.4239
0.0000 2.0741 1.8861
0.0000 2.0741 6.5539
2.0741 0.0000 1.8861
2.0741 0.0000 6.5539
2.0741 2.0741 0.0000

=====

Mg4AsRu PBE-GGA relaxed; mass density = 4.047 g/cm³; volume = 18.68 A^3/atom; raw total energy = -3.061 eV per atom; total moment = 0.00 μB/atom; ΔH_f (0 K) = 31.1 kJ/mol of atoms
1.0
0.0000 3.8270 3.8270
3.8270 0.0000 3.8270
3.8270 3.8270 0.0000
Mg As Ru
4 1 1
Cartesian
0.9512 0.9512 0.9512
2.8757 2.8757 0.9512
2.8757 0.9512 2.8757
0.9512 2.8757 2.8757
3.8270 3.8270 3.8270
5.7404 5.7404 5.7404

=====

MgAs3Ru PBE-GGA relaxed; mass density = 5.157 g/cm³; energy above the lowest structure with this stoichiometry = 0.0 meV per atom; volume = 22.55 A^3/atom; raw total energy = -4.614 eV per atom; total moment = 0.00 μB/atom; ΔH_f (0 K) = 33.8 kJ/mol of atoms
1.0
4.8308 0.0000 0.0000
0.0000 4.8308 0.0000
0.0000 0.0000 4.8308
Mg As Ru
1 3 1
Cartesian
0.0000 0.0000 0.0000
0.0000 2.4154 2.4154
2.4154 0.0000 2.4154
2.4154 2.4154 0.0000
2.4154 2.4154 2.4154

=====

MgAs2RuSe PBE-GGA relaxed; mass density = 4.934 g/cm³; energy above the lowest structure with this stoichiometry = 0.0 meV per atom; volume = 23.84 A^3/atom; raw total energy = -4.524 eV per atom; ΔE_f (raw) = 0.21 eV/atom; total moment = 0.00 μB/atom
1.0
4.6250 0.0000 0.0000
0.0000 4.6250 0.0000
0.0000 0.0000 5.5728
Mg As Ru Se
1 2 1 1
Cartesian
0.0000 0.0000 0.0000
0.0000 2.3125 2.7864
2.3125 0.0000 2.7864
2.3125 2.3125 2.7864
2.3125 2.3125 0.0000

=====

MgAsRuSe2 PBE-GGA relaxed; mass density = 5.019 g/cm³; energy above the lowest structure with this stoichiometry = 0.0 meV per atom; volume = 23.70 A^3/atom; raw total energy = -4.286 eV per atom; ΔE_f (raw) = 0.21 eV/atom; total moment = 0.12 μB/atom
1.0
5.0967 0.0000 0.0000
0.0000 5.0967 0.0000
0.0000 0.0000 4.5621
Mg As Ru Se
1 1 1 2
Cartesian
0.0000 0.0000 0.0000
2.5483 2.5483 0.0000
2.5483 2.5483 2.2811
0.0000 2.5483 2.2811
2.5483 0.0000 2.2811